No. 1
Density functional theory data (GGA-PBE) for ZrBeTe2 after structural relaxation.

POSCAR file:
```
ZrBeTe2
1.0
6.016 -0.065 0.001
4.761 3.679 0.001
-0.001 0.000 3.878
Te Be Zr
2 1 1
Direct
0.751 0.751 0.625
0.042 0.042 0.125
0.265 0.265 0.125
0.442 0.442 0.625
```

Computed properties:
As for the space group: Amm2, No. 38. Its volume is 87.03 Å³/cell. The value obtained for the formation energy from raw total energies is -0.497 eV per atom.

No. 2
Density functional theory data (GGA-PBE) for ZrBeTe2 after structural relaxation.

POSCAR file:
```
ZrBeTe2
1.0
4.024 0.000 0.000
0.000 7.172 -0.047
0.000 4.899 3.275
Be Te Zr
1 2 1
Direct
0.000 0.000 0.500
0.000 0.000 0.000
0.500 0.500 0.000
0.500 0.500 0.500
```

Computed properties:
As for the space group: P2/m, No. 10. Its volume is 95.46 Å³/cell. The value obtained for the formation energy from raw total energies is -0.096 eV per atom.

No. 3
Density functional theory data (GGA-PBE) for ZrBeTe2 after structural relaxation.

POSCAR file:
```
ZrBeTe2
1.0
-5.505 -1.405 -1.931
-1.234 -5.273 -2.585
2.746 2.212 4.856
Be Te Zr
1 2 1
Direct
0.750 0.250 0.500
0.000 0.000 0.000
0.250 0.750 0.500
0.500 0.500 0.000
```

Computed properties:
As for the space group: I-4m2, No. 119. Its volume is 88.35 Å³/cell. The value obtained for the formation energy from raw total energies is 0.120 eV per atom.

Repeat the second record exactly.
Density functional theory data (GGA-PBE) for ZrBeTe2 after structural relaxation.

POSCAR file:
```
ZrBeTe2
1.0
4.024 0.000 0.000
0.000 7.172 -0.047
0.000 4.899 3.275
Be Te Zr
1 2 1
Direct
0.000 0.000 0.500
0.000 0.000 0.000
0.500 0.500 0.000
0.500 0.500 0.500
```

Computed properties:
As for the space group: P2/m, No. 10. Its volume is 95.46 Å³/cell. The value obtained for the formation energy from raw total energies is -0.096 eV per atom.